Entry 1:
AlSi2O2, relaxed, DFT GGA-PBE; magnetic moment = 0.0 μB per formula unit; relative energy among the computed polymorphs = 0 meV/atom
1.0
-0.6848 7.3690 1.9180
-4.3372 -1.9603 5.9829
2.2991 -0.2029 1.6002
Al Si O
2 4 4
Cartesian
-2.5110 2.7044 3.9505
0.0000 0.0000 0.0000
-1.8284 5.2849 3.2969
-1.0878 1.7804 1.7887
-3.1936 0.1238 4.6041
-3.9341 3.6283 6.1123
-1.6169 -0.4377 4.7320
-1.1060 5.6436 4.7691
-3.0953 2.7333 7.2582
0.3724 2.4726 2.2430

---

Entry 2:
PmEr5Ag6, relaxed, DFT GGA-PBE; magnetic moment = 0.0 μB per formula unit; E_form = -0.323 eV/atom
1.0
-4.8275 -0.2183 -1.7745
2.4969 -0.5055 -6.7303
-2.2944 -7.8120 -0.2644
Ag Pm Er
6 1 5
Cartesian
-0.5635 -0.4837 -5.8738
-2.9255 -3.2154 -6.5803
-1.6996 -5.3204 -2.1889
-4.1515 -2.9672 -3.2752
-0.4736 -5.5686 -5.4940
-1.7671 -0.2401 -2.6310
0.0000 0.0000 0.0000
-3.4993 -5.6226 -4.7231
1.2484 -0.2527 -3.3651
-2.3737 -2.6944 -0.6782
-4.7482 -5.3359 -1.3607
-1.1258 -2.9132 -4.0461

---

Entry 3:
FeTeAs3, relaxed, DFT GGA-PBE; magnetic moment = 1.4 μB per formula unit; relative energy among the computed polymorphs = 0 meV/atom
1.0
4.6718 0.0000 0.0000
0.0000 4.6718 0.0000
0.0000 0.0000 4.6718
As Te Fe
3 1 1
Cartesian
0.0000 2.3359 0.0000
2.3359 0.0000 0.0000
0.0000 0.0000 2.3359
2.3359 2.3359 2.3359
0.0000 0.0000 0.0000

---

Entry 4:
SrLiPmRh, relaxed, DFT GGA-PBE; magnetic moment = 0.0 μB per formula unit; E_form = -0.200 eV/atom
1.0
-2.5025 -4.3058 -1.3888
1.9308 -4.6300 1.2518
-2.3460 -2.8963 3.5832
Pm Li Sr Rh
1 1 1 1
Cartesian
-0.7294 -2.9580 0.8615
0.0000 0.0000 0.0000
-2.1883 -8.8741 2.5846
-1.4589 -5.9161 1.7231

---

Entry 5:
BaDyCu2Ge2, relaxed, DFT GGA-PBE; magnetic moment = 0.0 μB per formula unit; E_form = -0.543 eV/atom
1.0
-1.8936 1.3158 3.7361
3.2344 -2.9670 0.1046
5.4637 5.9796 0.6633
Dy Cu Ba Ge
1 2 1 2
Cartesian
2.7319 2.9898 0.3317
5.2609 2.5491 1.7687
1.5437 1.7793 2.7354
0.0000 0.0000 0.0000
3.1606 0.2505 1.5137
3.6440 4.0778 2.9904

---

Entry 6:
Fe2RuRh, relaxed, DFT GGA-PBE; magnetic moment = 4.5 μB per formula unit; E_form = 0.077 eV/atom
1.0
2.6678 0.0000 0.0000
0.0000 2.6678 0.0000
0.0000 0.0000 7.2465
Fe Ru Rh
2 1 1
Cartesian
0.0000 0.0000 5.4508
0.0000 0.0000 1.7956
1.3339 1.3339 0.0000
1.3339 1.3339 3.6232